# GGA-PBE PrSc3Cd4, optimized geometry
# - spin magnetization (μB/f.u.) = 0.53
# - calculated formation energy (meV/atom) = -271.5
# - ρ (g cm⁻³) = 6.276
# - raw total energy (Ha/atom) = -0.13600
# - SG = P4/mmm
data_PrSc3Cd4
_symmetry_space_group_name_H-M 'P 1'
_symmetry_Int_Tables_number 1
_cell_length_a 5.070
_cell_length_b 7.467
_cell_length_c 10.140
_cell_angle_alpha 90.00
_cell_angle_beta 90.00
_cell_angle_gamma 90.00
loop_
_symmetry_equiv_pos_as_xyz
'x,y,z'
loop_
_atom_site_label
_atom_site_type_symbol
_atom_site_fract_x
_atom_site_fract_y
_atom_site_fract_z
Sc1 Sc 0.500 0.500 0.250
Sc2 Sc 0.500 0.000 0.750
Sc3 Sc 0.500 0.500 0.750
Sc4 Sc 0.000 0.000 0.500
Sc5 Sc 0.000 0.000 0.000
Sc6 Sc 0.500 0.000 0.250
Cd1 Cd 0.500 0.772 0.000
Cd2 Cd 0.000 0.228 0.250
Cd3 Cd 0.500 0.228 0.500
Cd4 Cd 0.000 0.228 0.750
Cd5 Cd 0.500 0.772 0.500
Cd6 Cd 0.500 0.228 0.000
Cd7 Cd 0.000 0.772 0.250
Cd8 Cd 0.000 0.772 0.750
Pr1 Pr 0.000 0.500 0.000
Pr2 Pr 0.000 0.500 0.500